1.
KPSCl2 (SCAN, PBEsol geometry); magnetization = 0.000 μB/f.u.; formation energy from raw total energies = -0.772 eV/atom; VASP energy = -9.634 eV per atom
1.0
4.4558 0.0000 0.0000
0.0000 5.0257 0.0000
0.0000 0.0000 5.0257
P K S Cl
1 1 1 2
Direct
0.0000 0.0000 0.0000
0.5000 0.5000 0.5000
0.5000 0.0000 0.0000
0.0000 0.0000 0.5000
0.0000 0.5000 0.0000



2.
CaSi4Ag (SCAN, PBEsol geometry); magnetization = 0.000 μB/f.u.; formation energy from raw total energies = 0.186 eV/atom; VASP energy = -13.329 eV per atom
1.0
5.2251 0.0000 0.0000
2.6126 4.5251 0.0000
2.6126 1.5084 4.2663
Ag Ca Si
1 1 4
Direct
0.7500 0.7500 0.7500
0.0000 0.0000 0.0000
0.3768 0.3768 0.3768
0.3768 0.3768 0.8695
0.8695 0.3768 0.3768
0.3768 0.8695 0.3768



3.
NbTeBr2 (SCAN, PBEsol geometry); magnetization = 0.000 μB/f.u.; formation energy from raw total energies = -0.376 eV/atom; VASP energy = -27.701 eV per atom
1.0
3.2543 0.0000 0.0000
1.6272 2.8183 0.0000
1.6272 0.9394 11.4173
Nb Te Br
1 1 2
Direct
0.5000 0.5000 0.5000
0.0000 0.0000 0.0000
0.8880 0.8880 0.3360
0.1120 0.1120 0.6640



Q: What is the formation energy from raw total energies in the third record?
A: -0.376 eV/atom